No. 1
The following is a DFT calculation (PBE-GGA) of a geometry-optimized Sm2YCu2B2N3 structure.

Structure (POSCAR):
```
Sm2YCu2B2N3
1.0
-1.7772 1.7772 10.2538
1.7772 -1.7772 10.2538
1.7772 1.7772 -10.2538
B Cu N Sm Y
2 2 3 2 1
Direct
0.1844 0.1844 0.0000
0.8156 0.8156 0.0000
0.7500 0.2500 0.5000
0.2500 0.7500 0.5000
0.1144 0.1144 0.0000
0.5000 0.5000 0.0000
0.8856 0.8856 0.0000
0.3782 0.3782 0.0000
0.6218 0.6218 0.0000
0.0000 0.0000 0.0000
```



No. 2
The following is a DFT calculation (PBE-GGA) of a geometry-optimized TbYCu2B2N2 structure.

Structure (POSCAR):
```
TbYCu2B2N2
1.0
-3.1943 -1.4695 -0.0962
0.2041 -0.6694 3.4471
-3.1934 6.8420 1.5178
B Cu N Tb Y
2 2 2 1 1
Direct
0.0000 0.0000 0.3264
0.5000 0.5000 0.6739
0.5000 0.0000 0.4999
0.0000 0.5000 0.4999
0.0000 0.0000 0.1391
0.5000 0.5000 0.8614
0.0000 0.0000 0.8344
0.5000 0.5000 0.1650
```



No. 3
The following is a DFT calculation (PBE-GGA) of a geometry-optimized Tb2YCu2B2N3 structure.

Structure (POSCAR):
```
Tb2YCu2B2N3
1.0
-1.7497 1.7497 10.2101
1.7497 -1.7497 10.2101
1.7497 1.7497 -10.2101
B Cu N Tb Y
2 2 3 2 1
Direct
0.1844 0.1844 0.0000
0.8156 0.8156 0.0000
0.7500 0.2500 0.5000
0.2500 0.7500 0.5000
0.1140 0.1140 0.0000
0.5000 0.5000 0.0000
0.8860 0.8860 0.0000
0.3788 0.3788 0.0000
0.6212 0.6212 0.0000
0.0000 0.0000 0.0000
```



No. 4
The following is a DFT calculation (PBE-GGA) of a geometry-optimized NbCuB2 structure.

Structure (POSCAR):
```
NbCuB2
1.0
-2.0581 -0.3064 3.3798
-1.6004 3.2360 1.6493
-3.9376 0.4979 -0.0222
B Cu Nb
2 1 1
Direct
0.0000 0.0000 0.0000
0.7500 0.7500 0.7500
0.2500 0.2500 0.2500
0.5000 0.5000 0.5000
```



No. 5
The following is a DFT calculation (PBE-GGA) of a geometry-optimized NbCuB4 structure.

Structure (POSCAR):
```
NbCuB4
1.0
3.5581 0.3654 2.8764
1.2624 4.3036 -0.9759
-3.4687 -2.3773 1.8395
B Cu Nb
4 1 1
Direct
0.5857 0.2598 0.3259
0.0661 0.7402 0.3259
0.9339 0.2598 0.6741
0.4143 0.7402 0.6741
0.5000 0.5000 0.0000
0.0000 0.0000 0.0000
```



No. 6
The following is a DFT calculation (PBE-GGA) of a geometry-optimized Nb3CuB2 structure.

Structure (POSCAR):
```
Nb3CuB2
1.0
3.2495 0.0000 0.0000
-1.6247 2.8141 0.0000
0.0000 0.0000 18.3200
B Cu Nb
4 2 6
Direct
0.3333 0.6667 0.0750
0.3333 0.6667 0.4250
0.6667 0.3333 0.5750
0.6667 0.3333 0.9250
0.0000 0.0000 0.2500
0.0000 0.0000 0.7500
0.0000 0.0000 0.0000
0.6667 0.3333 0.1409
0.6667 0.3333 0.3591
0.0000 0.0000 0.5000
0.3333 0.6667 0.6409
0.3333 0.6667 0.8591
```



No. 7
The following is a DFT calculation (PBE-GGA) of a geometry-optimized Nb2CuB2 structure.

Structure (POSCAR):
```
Nb2CuB2
1.0
-5.9443 0.3693 0.0488
4.9969 -2.5410 -2.0119
-0.1158 -2.1932 2.4823
B Cu Nb
2 1 2
Direct
0.7893 0.2107 0.0000
0.2107 0.7893 0.0000
0.0000 0.0000 0.0000
0.6370 0.3630 0.5000
0.3630 0.6370 0.5000
```



No. 8
The following is a DFT calculation (PBE-GGA) of a geometry-optimized NbCuB structure.

Structure (POSCAR):
```
NbCuB
1.0
-2.8892 1.0058 2.5252
-2.7919 -2.6441 0.9745
-0.0738 -1.5526 3.6496
B Cu Nb
1 1 1
Direct
0.2500 0.2500 0.2500
0.7500 0.7500 0.7500
0.0000 0.0000 0.0000
```



No. 9
The following is a DFT calculation (PBE-GGA) of a geometry-optimized NbCuB4 structure.

Structure (POSCAR):
```
NbCuB4
1.0
3.0331 0.0000 0.0000
-1.5166 2.6268 0.0000
0.0000 0.0000 6.8981
B Cu Nb
4 1 1
Direct
0.6667 0.3333 0.2521
0.3333 0.6667 0.2521
0.6667 0.3333 0.7479
0.3333 0.6667 0.7479
0.0000 0.0000 0.0000
0.0000 0.0000 0.5000
```



No. 10
The following is a DFT calculation (PBE-GGA) of a geometry-optimized NbCuB structure.

Structure (POSCAR):
```
NbCuB
1.0
0.0000 2.7233 2.7233
2.7233 0.0000 2.7233
2.7233 2.7233 0.0000
B Cu Nb
1 1 1
Direct
0.2500 0.2500 0.2500
0.0000 0.0000 0.0000
0.7500 0.7500 0.7500
```



No. 11
The following is a DFT calculation (PBE-GGA) of a geometry-optimized Nb4CuB3 structure.

Structure (POSCAR):
```
Nb4CuB3
1.0
-1.2041 -2.5768 -1.5909
0.7916 -0.2545 3.1511
-21.8402 6.4943 6.0110
B Cu Nb
6 2 8
Direct
0.0000 0.0000 0.0000
0.6667 0.3333 0.1144
0.6667 0.3333 0.3856
0.0000 0.0000 0.5000
0.3333 0.6667 0.6144
0.3333 0.6667 0.8856
0.3333 0.6667 0.2500
0.6667 0.3333 0.7500
0.3333 0.6667 0.0553
0.0000 0.0000 0.1656
0.0000 0.0000 0.3344
0.3333 0.6667 0.4447
0.6667 0.3333 0.5553
0.0000 0.0000 0.6656
0.0000 0.0000 0.8344
0.6667 0.3333 0.9447
```



No. 12
The following is a DFT calculation (PBE-GGA) of a geometry-optimized NbCu2B structure.

Structure (POSCAR):
```
NbCu2B
1.0
1.6479 -3.6985 -0.5825
2.6270 -1.5234 2.7408
-1.1159 -3.1343 2.3801
B Cu Nb
1 2 1
Direct
0.5000 0.5000 0.5000
0.0000 0.0000 0.0000
0.7500 0.7500 0.7500
0.2500 0.2500 0.2500
```



In order of appearance, total moment = 0.001 0.000 0.000 0.167 0.000 0.000 0.000 0.000 0.000 0.001 0.000 0.001 μB/atom.
In order of appearance, VASP energy = -7.168 -6.952 -7.199 -5.733 -6.908 -8.157 -7.968 -5.993 -6.904 -6.202 -8.354 -5.743 eV/atom.